No. 1
Compound: ScSi2PtI
Source: Alexandria via LeMat-Bulk
Functional: PBEsol
Structure: optimized geometry

Summary:
Total magnetic moment   0.01 μB/f.u.
Symmetry   P4/mmm
Density of states at the Fermi level   5.96 states/eV/cell
Energy relative to the elements, uncorrected   347.3 meV/atom
Uncorrected energy   -5.018 eV/atom

Cell: 4.6137 4.6137 5.6231 Å, 90.00 90.00 90.00°
Closest atoms and distances in Å follow each position.
Fractional positions:
Sc (0.0000, 0.0000, 0.0000)  4 I 3.26, 8 Si 3.64
Si (0.0000, 0.5000, 0.5000)  2 Pt 2.31
Si (0.5000, 0.0000, 0.5000)  2 Pt 2.31
Pt (0.5000, 0.5000, 0.5000)  4 Si 2.31
I (0.5000, 0.5000, 0.0000)  2 Pt 2.81


No. 2
Compound: CoSeBr2
Source: Alexandria via LeMat-Bulk
Functional: PBEsol
Structure: optimized geometry

Summary:
Total magnetic moment   1.01 μB/f.u.
Symmetry   Immm
Density of states at the Fermi level   3.20 states/eV/cell
Energy relative to the elements, uncorrected   206.6 meV/atom
Uncorrected energy   -3.625 eV/atom

Cell: 7.1765 7.1765 7.1765 Å, 154.52 145.53 43.35°
Closest atoms and distances in Å follow each position.
Fractional positions:
Co (0.0000, 0.0000, 0.0000)  4 Br 2.51, 4 Se 2.65
Se (0.5000, 0.5000, 0.0000)  4 Co 2.65, 4 Br 2.89
Br (0.1464, 0.6464, 0.5000)  2 Co 2.51
Br (0.8536, 0.3536, 0.5000)  2 Co 2.51


No. 3
Compound: BeGaNiW2
Source: Alexandria via LeMat-Bulk
Functional: PBEsol
Structure: optimized geometry

Summary:
Total magnetic moment   0.00 μB/f.u.
DFT formation energy   0.735 eV/atom
Symmetry   P4/mmm
Density of states at the Fermi level   4.56 states/eV/cell
Uncorrected energy   -7.488 eV/atom

Cell: 4.2272 4.2272 3.8003 Å, 90.00 90.00 90.00°
Closest atoms and distances in Å follow each position.
Fractional positions:
Be (0.0000, 0.0000, 0.0000)  2 Ni 1.90, 4 W 2.11
Ga (0.5000, 0.5000, 0.5000)  8 W 2.84, 4 Ni 2.99
Ni (0.0000, 0.0000, 0.5000)  2 Be 1.90
W (0.0000, 0.5000, 0.0000)  2 Be 2.11
W (0.5000, 0.0000, 0.0000)  2 Be 2.11